{
  "formula": "TaAsAu2",
  "functional": "GGA-PBEsol",
  "state": "relaxed",
  "dft_energy_ev_per_atom": -6.2673,
  "space_group": "Pmmm, No. 47",
  "cell": [[-1.585, -2.548, -0.288], [3.420, -1.988, -1.235], [1.137, -1.299, 5.241]],
  "species": ["Au", "Au", "As", "Ta"],
  "fractional_positions": [[0.000, 0.000, 0.244], [0.000, 0.000, 0.756], [0.500, 0.500, 0.500], [0.500, 0.500, 0.000]]
}